(P)
# LaPr2Ga2

A relaxed structure of LaPr2Ga2 (PBE-GGA, Alexandria via LeMat-Bulk).

```
LaPr2Ga2
1.0
-1.474 -3.606 -3.016
4.206 -3.916 -1.398
-1.278 -5.103 2.702
Pr La Ga
2 1 2
Cartesian
0.872 -9.200 -1.498 Pr
0.582 -3.425 -0.213 Pr
0.000 0.000 0.000 La
-0.327 -6.541 -0.068 Ga
1.781 -6.084 -1.643 Ga
```

Values from the calculation:
Space group: No. 71

=====

(Q)
# LaPr2Ga2

A relaxed structure of LaPr2Ga2 (PBE-GGA, Alexandria via LeMat-Bulk).

```
LaPr2Ga2
1.0
-3.091 -2.200 -0.730
3.421 -5.054 0.745
-0.565 2.102 6.277
Ga La Pr
2 1 2
Cartesian
-2.067 -1.209 2.173 Ga
1.833 -3.943 4.119 Ga
0.000 0.000 0.000 La
-0.052 -1.460 4.620 Pr
-0.182 -3.692 1.672 Pr
```

Values from the calculation:
Space group: No. 12

=====

Most stable one: (P), least stable one: (Q).

=====

(P)
# La2PrGa6

A relaxed structure of La2PrGa6 (PBE-GGA, Alexandria via LeMat-Bulk).

```
La2PrGa6
1.0
-2.592 -0.867 3.494
-1.656 -6.684 -2.888
5.876 0.751 4.547
La Ga Pr
2 6 1
Cartesian
3.365 -1.727 2.069 La
-1.738 -5.073 3.084 La
-1.846 -2.655 0.787 Ga
1.521 -4.395 2.854 Ga
0.106 -2.405 2.298 Ga
2.627 0.068 4.782 Ga
-0.999 -6.868 0.370 Ga
3.474 -4.145 4.365 Ga
5.876 0.751 4.547 Pr
```

Values from the calculation:
Space group: No. 191

=====

(Q)
# La2PrGa6

A relaxed structure of La2PrGa6 (PBE-GGA, Alexandria via LeMat-Bulk).

```
La2PrGa6
1.0
-3.010 2.581 -2.152
-0.449 -2.901 -7.581
-5.657 -5.069 -2.896
Ga Pr La
6 1 2
Cartesian
-1.565 -1.782 -4.678 Ga
-1.400 -3.297 -6.725 Ga
-3.483 -2.581 -2.953 Ga
-4.706 -4.673 -3.751 Ga
-7.551 -3.607 -7.950 Ga
-5.633 -2.808 -9.676 Ga
-4.558 -2.694 -6.314 Pr
-7.190 -5.247 -10.423 La
-1.925 -0.141 -2.206 La
```

Values from the calculation:
Space group: No. 71

=====

Most stable one: (P), least stable one: (Q).

=====

(P)
# LaPrGaRh

A relaxed structure of LaPrGaRh (PBE-GGA, Alexandria via LeMat-Bulk).

```
LaPrGaRh
1.0
4.408 0.000 0.000
0.000 3.924 0.000
-2.204 0.000 5.865
Pr Ga La Rh
1 1 1 1
Cartesian
0.000 0.000 1.750 Pr
2.204 1.962 0.789 Ga
2.204 1.962 4.315 La
0.000 0.000 4.877 Rh
```

Values from the calculation:
Space group: No. 38

=====

(Q)
# LaPrGaRh

A relaxed structure of LaPrGaRh (PBE-GGA, Alexandria via LeMat-Bulk).

```
LaPrGaRh
1.0
5.193 0.000 0.000
2.596 4.497 0.000
2.596 1.499 4.240
Pr Ga La Rh
1 1 1 1
Cartesian
2.596 1.499 1.060 Pr
0.000 0.000 0.000 Ga
7.789 4.497 3.180 La
5.193 2.998 2.120 Rh
```

Values from the calculation:
Space group: No. 216

=====

Most stable one: (P), least stable one: (Q).